[1]
Pm5Zn5Ir2 | the Alexandria database | PBE | relaxed; magnetization = 0.00 μB per atom; SG = C2/m (12); crystal system = monoclinic; ΔE_f = -0.442 eV per atom
1.0
7.863 -2.160 0.000
7.863 2.160 0.000
-7.748 0.000 8.306
Pm Zn Ir
5 5 2
direct
0.000 0.000 0.000
0.120 0.120 0.415
0.196 0.196 0.818
0.804 0.804 0.182
0.880 0.880 0.585
0.267 0.267 0.323
0.442 0.442 0.158
0.500 0.500 0.500
0.558 0.558 0.842
0.733 0.733 0.677
0.349 0.349 0.741
0.651 0.651 0.259


[2]
Pm8ZnIr2 | the Alexandria database | PBE | relaxed; magnetization = 0.00 μB per atom; SG = Cm (8); energy relative to the lowest polymorph listed for this composition = 75 meV per atom; crystal system = monoclinic; ΔE_f = -0.265 eV per atom
1.0
4.319 -6.505 0.000
4.319 6.505 0.000
-1.358 0.000 5.806
Pm Zn Ir
8 1 2
direct
0.000 0.000 0.000
0.043 0.306 0.600
0.138 0.620 0.205
0.306 0.043 0.600
0.445 0.710 0.818
0.620 0.138 0.205
0.710 0.445 0.818
0.743 0.743 0.406
0.377 0.377 0.122
0.065 0.688 0.706
0.688 0.065 0.706


[3]
PmZn12Ir4 | the Alexandria database | PBE | relaxed; magnetization = 0.00 μB per atom; SG = Im-3 (204); crystal system = cubic; ΔE_f = 0.147 eV per atom
1.0
-4.351 4.351 4.351
4.351 -4.351 4.351
4.351 4.351 -4.351
Pm Zn Ir
1 12 4
direct
0.000 0.000 0.000
0.161 0.351 0.512
0.161 0.649 0.810
0.190 0.839 0.351
0.351 0.190 0.839
0.351 0.512 0.161
0.488 0.839 0.649
0.512 0.161 0.351
0.649 0.488 0.839
0.649 0.810 0.161
0.810 0.161 0.649
0.839 0.351 0.190
0.839 0.649 0.488
0.000 0.000 0.500
0.000 0.500 0.000
0.500 0.000 0.000
0.500 0.500 0.500


[4]
Pm3Zn4Ir4 | the Alexandria database | PBE | relaxed; magnetization = 0.00 μB per atom; SG = I-43m (217); crystal system = cubic; ΔE_f = -0.282 eV per atom
1.0
-3.822 3.822 3.822
3.822 -3.822 3.822
3.822 3.822 -3.822
Pm Zn Ir
3 4 4
direct
0.000 0.500 0.500
0.500 0.000 0.500
0.500 0.500 0.000
0.000 0.000 0.242
0.000 0.242 0.000
0.242 0.000 0.000
0.758 0.758 0.758
0.000 0.000 0.604
0.000 0.604 0.000
0.396 0.396 0.396
0.604 0.000 0.000